VASP calculation (PBE) on an optimized crystal structure of Er2AlB2.

Cell and atoms, written as extended XYZ:
```
10
Lattice="9.2467 0.0000 0.0000 0.0000 3.8030 0.0000 -1.6405 0.0000 4.8700" Properties=species:S:1:pos:R:3 pbc="T T T"
Er 1.2618 0.0000 1.0139
Er 1.7212 1.9015 3.8561
Er 5.8851 1.9015 1.0139
Er 6.3445 0.0000 3.8561
Al -0.8202 1.9015 2.4350
Al 3.8031 0.0000 2.4350
B -0.1925 0.0000 3.1684
B 3.1755 1.9015 1.7016
B 4.4308 1.9015 3.1684
B 7.7988 0.0000 1.7016
```

Values from the calculation:
Energy = -54.44 eV/cell
SG = No. 12
Total magnetic moment = 0.000 μB per atom